1.
{
  "formula": "Si4C5",
  "functional": "PBE",
  "state": "relaxed",
  "lattice": [[5.955, 0.000, 0.000], [-2.977, 5.157, 0.000], [0.000, 0.000, 5.982]],
  "species": ["Si", "Si", "Si", "Si", "Si", "Si", "Si", "Si", "C", "C", "C", "C", "C", "C", "C", "C", "C", "C"],
  "frac_coords": [[0.000, 0.000, 0.000], [0.000, 0.000, 0.500], [0.000, 0.487, 0.250], [0.000, 0.513, 0.750], [0.487, 0.000, 0.250], [0.487, 0.487, 0.750], [0.513, 0.000, 0.750], [0.513, 0.513, 0.250], [0.000, 0.174, 0.250], [0.000, 0.826, 0.750], [0.174, 0.000, 0.250], [0.174, 0.174, 0.750], [0.333, 0.667, 0.000], [0.333, 0.667, 0.500], [0.667, 0.333, 0.000], [0.667, 0.333, 0.500], [0.826, 0.000, 0.750], [0.826, 0.826, 0.250]],
  "de_polymorph_kj_per_mol_atoms": 80.1,
  "n_ef_per_ev_atom": 0.358,
  "e_form_raw_ev_per_atom": 1.4562
}

2.
{
  "formula": "KIrPt2Cl",
  "functional": "PBE",
  "state": "relaxed",
  "lattice": [[4.999, 0.000, 0.000], [0.000, 4.999, 0.000], [0.000, 0.000, 5.093]],
  "species": ["K", "Ir", "Pt", "Pt", "Cl"],
  "frac_coords": [[0.000, 0.000, 0.000], [0.500, 0.500, 0.500], [0.000, 0.500, 0.000], [0.500, 0.000, 0.000], [0.000, 0.000, 0.500]],
  "n_ef_per_ev_atom": 1.042,
  "e_form_raw_ev_per_atom": 2.2343
}